[1]
# Tb2Ce2GaGe4 PBE-GGA relaxed
# * total DFT energy (no corrections): -90.23 eV per cell
# * crystal system: tetragonal
data_Tb2Ce2GaGe4
_chemical_formula_sum 'Tb4 Ce4 Ga2 Ge8'
_cell_length_a 7.079
_cell_length_b 7.079
_cell_length_c 8.674
_cell_angle_alpha 90.00
_cell_angle_beta 90.00
_cell_angle_gamma 90.00
_space_group_name_H-M_alt 'I 4/m m m'
_space_group_IT_number 139
_space_group_name_Hall '-I 4 2'
loop_
_atom_site_label
_atom_site_type_symbol
_atom_site_fract_x
_atom_site_fract_y
_atom_site_fract_z
Tb1 Tb 0.000 0.500 0.250
Ce1 Ce 0.000 0.000 0.183
Ga1 Ga 0.000 0.000 0.500
Ge1 Ge 0.248 0.248 0.500

---

[2]
# BeRe2Ir PBE-GGA relaxed
# * total DFT energy (no corrections): -37.60 eV per cell
# * crystal system: orthorhombic
data_BeRe2Ir
_chemical_formula_sum 'Be1 Re2 Ir1'
_cell_length_a 2.744
_cell_length_b 3.783
_cell_length_c 5.295
_cell_angle_alpha 90.00
_cell_angle_beta 90.00
_cell_angle_gamma 90.00
_space_group_name_H-M_alt 'P m m 2'
_space_group_IT_number 25
loop_
_space_group_symop_operation_xyz
'x,y,z'
'-x,-y,z'
'-x,y,z'
'x,-y,z'
loop_
_atom_site_label
_atom_site_type_symbol
_atom_site_fract_x
_atom_site_fract_y
_atom_site_fract_z
Be1 Be 0.000 0.000 0.000
Re1 Re 0.000 0.000 0.503
Re2 Re 0.500 0.500 0.741
Ir1 Ir 0.500 0.500 0.207